(1)
The following is a PBE+U calculation of a relaxed CaMoNF2 crystal, from Alexandria via LeMat-Bulk.

Computed properties:
Uncorrected energy = -28.33 eV per cell
Symmetry = P4/mmm (123)
Density = 4.11 Mg/m³
D(E_F) = 0.949 states/eV/f.u.
Spin magnetization = 0.591 μB/atom
Distance to the lowest polymorph of the same formula = 0.0000 eV per atom
Calculated volume = 75.95 Å³/cell

Structure (POSCAR):
```
CaMoNF2
1.0
-0.813 -1.276 -3.899
-0.523 -3.911 1.388
-4.224 0.786 0.623
Mo N Ca F
1 1 1 2
Direct
0.000 0.000 0.000 Mo
0.000 0.000 0.500 N
0.500 0.500 0.500 Ca
0.000 0.500 0.000 F
0.500 0.000 0.000 F
```

=====

(2)
The following is a PBE+U calculation of a relaxed CaMoNF2 crystal, from Alexandria via LeMat-Bulk.

Computed properties:
Uncorrected energy = -26.18 eV per cell
Symmetry = P4/mmm (123)
Density = 3.61 Mg/m³
D(E_F) = 0.699 states/eV/f.u.
Spin magnetization = 0.600 μB/atom
Distance to the lowest polymorph of the same formula = 0.4307 eV per atom
Calculated volume = 86.49 Å³/cell

Structure (POSCAR):
```
CaMoNF2
1.0
-2.425 -2.020 -2.648
1.281 -3.589 1.565
-3.802 0.121 3.390
Mo N Ca F
1 1 1 2
Direct
0.500 0.500 0.500 Mo
0.000 0.000 0.500 N
0.000 0.000 0.000 Ca
0.000 0.500 0.000 F
0.500 0.000 0.000 F
```

=====

(3)
The following is a PBE+U calculation of a relaxed Na2CaMoF8 crystal, from Alexandria via LeMat-Bulk.

Computed properties:
Uncorrected energy = -62.33 eV per cell
Symmetry = P2/m (10)
Density = 3.52 Mg/m³
D(E_F) = 0.000 states/eV/f.u.
Spin magnetization = 0.169 μB/atom
Calculated volume = 157.36 Å³/cell

Structure (POSCAR):
```
Na2CaMoF8
1.0
-0.871 -2.315 -2.742
3.440 -3.792 2.125
-5.752 -2.846 4.231
Na Ca Mo F
2 1 1 8
Direct
0.500 0.500 0.737 Na
0.500 0.500 0.263 Na
0.000 0.000 0.500 Ca
0.000 0.000 0.000 Mo
0.999 0.776 0.215 F
0.499 0.790 0.000 F
0.001 0.224 0.215 F
0.001 0.224 0.785 F
0.501 0.210 0.000 F
0.999 0.776 0.785 F
0.499 0.755 0.500 F
0.501 0.245 0.500 F
```

=====

(4)
The following is a PBE+U calculation of a relaxed Na2CaMoF6 crystal, from Alexandria via LeMat-Bulk.

Computed properties:
Uncorrected energy = -50.66 eV per cell
Symmetry = P1 (1)
Density = 3.26 Mg/m³
Spin magnetization = 0.200 μB/atom
Calculated volume = 150.72 Å³/cell

Structure (POSCAR):
```
Na2CaMoF6
1.0
-0.366 -5.674 -1.270
5.101 2.258 1.640
-2.508 2.060 5.217
Na Ca Mo F
2 1 1 6
Direct
0.567 0.783 0.344 Na
0.586 0.290 0.853 Na
0.996 0.498 0.481 Ca
0.987 0.993 0.967 Mo
0.494 0.880 0.690 F
0.493 0.117 0.190 F
0.824 0.716 0.188 F
0.092 0.375 0.198 F
0.828 0.614 0.693 F
0.098 0.212 0.699 F
```

=====

(5)
The following is a PBE+U calculation of a relaxed CaMoO2F crystal, from Alexandria via LeMat-Bulk.

Computed properties:
Uncorrected energy = -31.60 eV per cell
Symmetry = P4/mmm (123)
Density = 4.27 Mg/m³
D(E_F) = 0.025 states/eV/f.u.
Spin magnetization = 0.600 μB/atom
Calculated volume = 72.65 Å³/cell

Structure (POSCAR):
```
CaMoO2F
1.0
4.208 0.000 0.000
0.000 4.208 0.000
0.000 0.000 4.103
Mo Ca O F
1 1 2 1
Direct
0.000 0.000 0.000 Mo
0.500 0.500 0.500 Ca
0.000 0.500 0.000 O
0.500 0.000 0.000 O
0.000 0.000 0.500 F
```

=====

(6)
The following is a PBE+U calculation of a relaxed CaMoO2F crystal, from Alexandria via LeMat-Bulk.

Computed properties:
Uncorrected energy = -26.50 eV per cell
Symmetry = P4/mmm (123)
Density = 3.92 Mg/m³
D(E_F) = 3.127 states/eV/f.u.
Spin magnetization = 0.600 μB/atom
Calculated volume = 79.22 Å³/cell

Structure (POSCAR):
```
CaMoO2F
1.0
-2.709 -3.263 1.089
3.153 -2.910 -0.874
1.298 0.230 3.916
Mo Ca O F
1 1 2 1
Direct
0.500 0.500 0.500 Mo
0.000 0.000 0.000 Ca
0.000 0.500 0.000 O
0.500 0.000 0.000 O
0.000 0.000 0.500 F
```

=====

Number 1 is which compound? CaMoNF2

=====

Please write out number 2 again, unchanged.
The following is a PBE+U calculation of a relaxed CaMoNF2 crystal, from Alexandria via LeMat-Bulk.

Computed properties:
Uncorrected energy = -26.18 eV per cell
Symmetry = P4/mmm (123)
Density = 3.61 Mg/m³
D(E_F) = 0.699 states/eV/f.u.
Spin magnetization = 0.600 μB/atom
Distance to the lowest polymorph of the same formula = 0.4307 eV per atom
Calculated volume = 86.49 Å³/cell

Structure (POSCAR):
```
CaMoNF2
1.0
-2.425 -2.020 -2.648
1.281 -3.589 1.565
-3.802 0.121 3.390
Mo N Ca F
1 1 1 2
Direct
0.500 0.500 0.500 Mo
0.000 0.000 0.500 N
0.000 0.000 0.000 Ca
0.000 0.500 0.000 F
0.500 0.000 0.000 F
```

=====

Which value of spin magnetization does entry 6 give? 0.600 μB/atom

=====

Which value of calculated volume does entry 3 give? 157.36 Å³/cell